No. 1
Pr6Ga2Si after structural relaxation, computed with PBE-GGA.

Lattice parameters (Å, degrees): 7.506 7.506 11.265 90.00 90.00 90.00
Fractional positions:
Si: 0.500 0.500 0.500
Si: 0.000 0.000 0.000
Pr: 0.286 0.286 0.334
Pr: 0.273 0.273 0.000
Pr: 0.214 0.786 0.834
Pr: 0.714 0.714 0.334
Pr: 0.214 0.786 0.166
Pr: 0.727 0.727 0.000
Pr: 0.786 0.214 0.166
Pr: 0.227 0.773 0.500
Pr: 0.286 0.286 0.666
Pr: 0.786 0.214 0.834
Pr: 0.773 0.227 0.500
Pr: 0.714 0.714 0.666
Ga: 0.000 0.000 0.348
Ga: 0.500 0.500 0.152
Ga: 0.000 0.000 0.652
Ga: 0.500 0.500 0.848

Output
- Energy above the lowest structure with this stoichiometry: 203.5 meV/atom
- Symmetry: No. 136
- Magnetic moment: 0.000 μB/f.u.
- V: 35.26 Å³/atom
- Electronic total energy: -4.62 eV per atom

***

No. 2
PrSmGaSi after structural relaxation, computed with PBE-GGA.

Lattice parameters (Å, degrees): 4.446 4.061 6.006 90.00 111.72 90.00
Each line ends with the local moment (μB).
Fractional positions:
Sm: 0.860 0.500 0.720  0.06
Pr: 0.142 0.000 0.284  0.05
Ga: 0.428 0.000 0.856  0.00
Si: 0.570 0.500 0.141  0.00

Output
- Symmetry: No. 38
- Magnetic moment: 0.268 μB/f.u.
- V: 25.19 Å³/atom
- Electronic total energy: -5.19 eV per atom

***

No. 3
PrThGaSi after structural relaxation, computed with PBE-GGA.

Lattice parameters (Å, degrees): 4.435 4.057 6.061 90.00 111.46 90.00
Fractional positions:
Pr: 0.143 0.000 0.286
Ga: 0.572 0.500 0.145
Si: 0.426 0.000 0.851
Th: 0.859 0.500 0.718

Output
- Symmetry: No. 38
- Magnetic moment: 0.008 μB/f.u.
- V: 25.37 Å³/atom
- Electronic total energy: -5.80 eV per atom

***

No. 4
Pr2Zn4GaSi3 after structural relaxation, computed with PBE-GGA.

Lattice parameters (Å, degrees): 4.262 4.262 10.350 90.00 90.00 90.00
Fractional positions:
Si: 0.000 0.500 0.134
Si: 0.000 0.000 0.500
Si: 0.500 0.000 0.866
Pr: 0.000 0.500 0.748
Pr: 0.500 0.000 0.252
Ga: 0.500 0.500 0.500
Zn: 0.500 0.500 0.000
Zn: 0.000 0.000 0.000
Zn: 0.000 0.500 0.367
Zn: 0.500 0.000 0.633

Output
- Symmetry: No. 115
- Magnetic moment: 0.000 μB/f.u.
- V: 18.80 Å³/atom
- Electronic total energy: -3.79 eV per atom

***

No. 5
Pr3Sm2Ga3 after structural relaxation, computed with PBE-GGA.

Lattice parameters (Å, degrees): 6.863 8.831 8.831 120.00 90.00 90.00
Fractional positions:
Sm: 0.500 0.333 0.667
Sm: 0.500 0.667 0.333
Sm: 0.000 0.667 0.333
Sm: 0.000 0.333 0.667
Ga: 0.750 0.407 0.407
Ga: 0.250 0.407 0.000
Ga: 0.250 0.000 0.407
Ga: 0.750 0.593 0.000
Ga: 0.750 0.000 0.593
Ga: 0.250 0.593 0.593
Pr: 0.750 0.758 0.758
Pr: 0.250 0.242 0.242
Pr: 0.750 0.000 0.242
Pr: 0.250 0.758 0.000
Pr: 0.250 0.000 0.758
Pr: 0.750 0.242 0.000

Output
- Symmetry: No. 193
- Magnetic moment: 0.000 μB/f.u.
- V: 28.97 Å³/atom
- Electronic total energy: -4.53 eV per atom

***

No. 6
Pr7SmGa4 after structural relaxation, computed with PBE-GGA.

Lattice parameters (Å, degrees): 5.726 9.373 7.554 77.46 67.73 72.22
Fractional positions:
Sm: 0.000 0.000 0.000
Pr: 0.795 0.880 0.529
Pr: 0.500 0.000 0.000
Pr: 0.704 0.356 0.235
Pr: 0.296 0.644 0.765
Pr: 0.934 0.387 0.745
Pr: 0.205 0.120 0.471
Pr: 0.066 0.613 0.255
Ga: 0.551 0.244 0.653
Ga: 0.449 0.756 0.347
Ga: 0.322 0.331 0.026
Ga: 0.678 0.669 0.974

Output
- Symmetry: No. 12
- Magnetic moment: 0.002 μB/f.u.
- V: 29.57 Å³/atom
- Electronic total energy: -4.39 eV per atom

***

No. 7
Pr3SmGa after structural relaxation, computed with PBE-GGA.

Lattice parameters (Å, degrees): 7.925 7.925 7.925 88.85 117.83 123.58
Fractional positions:
Ga: 0.032 0.532 0.000
Ga: 0.532 0.032 0.000
Pr: 0.032 0.795 0.263
Pr: 0.996 0.782 0.715
Pr: 0.067 0.282 0.285
Pr: 0.032 0.268 0.736
Pr: 0.532 0.295 0.264
Pr: 0.532 0.768 0.737
Sm: 0.561 0.781 0.280
Sm: 0.502 0.281 0.720

Output
- Energy above the lowest structure with this stoichiometry: 175.8 meV/atom
- Symmetry: No. 74
- Magnetic moment: 0.000 μB/f.u.
- V: 34.70 Å³/atom
- Electronic total energy: -4.43 eV per atom

***

No. 8
Pr4SmGa after structural relaxation, computed with PBE-GGA.

Lattice parameters (Å, degrees): 3.809 6.575 8.884 75.52 102.37 73.16
Fractional positions:
Pr: 0.367 0.968 0.200
Pr: 0.636 0.027 0.796
Pr: 0.781 0.577 0.639
Pr: 0.222 0.417 0.358
Sm: 0.501 0.498 0.999
Ga: 0.001 0.997 0.498

Output
- Energy above the lowest structure with this stoichiometry: 9.0 meV/atom
- Symmetry: No. 8
- Magnetic moment: 0.000 μB/f.u.
- V: 32.68 Å³/atom
- Electronic total energy: -4.62 eV per atom

***

No. 9
PrSm4Ga4 after structural relaxation, computed with PBE-GGA.

Lattice parameters (Å, degrees): 7.274 7.274 9.991 90.00 90.00 90.00
Fractional positions:
Sm: 0.243 0.000 0.647
Sm: 0.743 0.500 0.853
Sm: 0.500 0.743 0.147
Sm: 0.757 0.000 0.647
Sm: 0.257 0.500 0.853
Sm: 0.500 0.257 0.147
Sm: 0.000 0.243 0.353
Sm: 0.000 0.757 0.353
Ga: 0.171 0.500 0.146
Ga: 0.000 0.671 0.646
Ga: 0.500 0.171 0.854
Ga: 0.000 0.329 0.646
Ga: 0.500 0.829 0.854
Ga: 0.329 0.000 0.354
Ga: 0.829 0.500 0.146
Ga: 0.671 0.000 0.354
Pr: 0.000 0.000 0.000
Pr: 0.500 0.500 0.500

Output
- Symmetry: No. 137
- Magnetic moment: 0.162 μB/f.u.
- V: 29.37 Å³/atom
- Electronic total energy: -4.29 eV per atom

***

No. 10
Pr2Sm3Ga4 after structural relaxation, computed with PBE-GGA.

Lattice parameters (Å, degrees): 7.642 8.172 8.181 90.00 90.00 106.03
Fractional positions:
Ga: 0.869 0.080 0.530
Ga: 0.618 0.508 0.620
Ga: 0.631 0.920 0.030
Ga: 0.118 0.508 0.880
Ga: 0.369 0.080 0.970
Ga: 0.382 0.492 0.380
Ga: 0.131 0.920 0.470
Ga: 0.882 0.492 0.120
Pr: 0.427 0.811 0.683
Pr: 0.073 0.189 0.183
Pr: 0.573 0.189 0.317
Pr: 0.927 0.811 0.817
Sm: 0.748 0.763 0.325
Sm: 0.500 0.500 0.000
Sm: 0.252 0.237 0.675
Sm: 0.248 0.763 0.175
Sm: 0.752 0.237 0.825
Sm: 0.000 0.500 0.500

Output
- Energy above the lowest structure with this stoichiometry: 0.0 meV/atom
- Symmetry: No. 14
- Magnetic moment: 0.000 μB/f.u.
- V: 27.28 Å³/atom
- Electronic total energy: -4.52 eV per atom

***

No. 11
Pr2SmGa4 after structural relaxation, computed with PBE-GGA.

Lattice parameters (Å, degrees): 4.224 4.384 9.939 102.74 102.27 90.00
Fractional positions:
Sm: 0.500 0.000 0.000
Ga: 0.640 0.640 0.280
Ga: 0.935 0.435 0.870
Ga: 0.065 0.565 0.130
Ga: 0.360 0.360 0.720
Pr: 0.816 0.816 0.632
Pr: 0.184 0.184 0.368

Output
- Symmetry: No. 71
- Magnetic moment: 0.020 μB/f.u.
- V: 25.03 Å³/atom
- Electronic total energy: -4.39 eV per atom

***

No. 12
Pr2Sm3Ga2 after structural relaxation, computed with PBE-GGA.

Lattice parameters (Å, degrees): 4.254 6.516 8.824 112.08 90.00 109.05
Fractional positions:
Ga: 0.831 0.661 0.784
Ga: 0.169 0.339 0.216
Sm: 0.622 0.245 0.440
Sm: 0.378 0.755 0.560
Sm: 0.500 0.000 0.000
Pr: 0.153 0.305 0.812
Pr: 0.847 0.695 0.188

Output
- Symmetry: No. 12
- Magnetic moment: 0.000 μB/f.u.
- V: 30.30 Å³/atom
- Electronic total energy: -4.55 eV per atom